Tb2HoPa2Ru5: relaxed, PBE-GGA.

The structure belongs to space group P4/mbm (No. 127); the cell edges are 10.622, 10.622 and 3.677 Å and the angles 90.00°, 90.00° and 90.00°. The asymmetric unit holds Tb at (0.173, 0.327, 0.000), Ho at (0.000, 0.000, 0.000), Pa at (0.135, 0.635, 0.000), Ru at (0.000, 0.500, 0.500) and Ru at (0.054, 0.792, 0.500).

The volume is 20.75 Å³ per atom. The value obtained for the density of states at the Fermi level is 0.6464 states/eV/atom. For the formation energy from the elements, the calculation gives -31 kJ/mol of atoms. The size of the total moment comes out at 0.000 μB per formula unit.